The following is a DFT calculation (PBE) of a relaxed AlGa2Ge2 crystal.

Results
Energy of formation ... 225 meV per atom
Electronic total energy ... -3.582 eV/atom

```
data_AlGa2Ge2
_chemical_formula_sum 'Al2 Ga4 Ge4'
_cell_length_a 7.830
_cell_length_b 7.830
_cell_length_c 3.147
_cell_angle_alpha 90.00
_cell_angle_beta 90.00
_cell_angle_gamma 90.00
_symmetry_space_group_name_H-M 'P 4/m b m'
_symmetry_Int_Tables_number 127
_symmetry_space_group_name_Hall '-P 4 2ab'
loop_
_atom_site_label
_atom_site_type_symbol
_atom_site_fract_x
_atom_site_fract_y
_atom_site_fract_z
_atom_site_occupancy
Al1 Al 0.000 0.000 0.000 1
Ga1 Ga 0.147 0.353 0.000 1
Ge1 Ge 0.151 0.651 0.500 1
```